(1)
# LaSi2Te (GGA-PBEsol, relaxed)
data_LaSi2Te
_symmetry_space_group_name_H-M 'I m m 2'
_symmetry_Int_Tables_number 44
_symmetry_space_group_name_Hall 'I 2 -2'
_cell_length_a 3.757
_cell_length_b 5.296
_cell_length_c 9.179
_cell_angle_alpha 90.00
_cell_angle_beta 90.00
_cell_angle_gamma 90.00
loop_
_atom_site_label
_atom_site_type_symbol
_atom_site_fract_x
_atom_site_fract_y
_atom_site_fract_z
_atom_site_occupancy
La1 La 0.000 0.000 0.000 1
Si1 Si 0.000 0.000 0.434 1
Si2 Si 0.000 0.500 0.768 1
Te1 Te 0.000 0.500 0.203 1
# ΔE_f (raw)	-0.4157	eV/atom

***

(2)
# LiScAu2 (GGA-PBEsol, relaxed)
data_LiScAu2
_symmetry_space_group_name_H-M 'P 4/m m m'
_symmetry_Int_Tables_number 123
_symmetry_space_group_name_Hall '-P 4 2'
_cell_length_a 4.548
_cell_length_b 4.548
_cell_length_c 3.328
_cell_angle_alpha 90.00
_cell_angle_beta 90.00
_cell_angle_gamma 90.00
loop_
_atom_site_label
_atom_site_type_symbol
_atom_site_fract_x
_atom_site_fract_y
_atom_site_fract_z
_atom_site_occupancy
Li1 Li 0.000 0.000 0.000 1
Sc1 Sc 0.500 0.500 0.000 1
Au1 Au 0.000 0.500 0.500 1
# energy relative to the lowest polymorph listed for this composition	52	meV/atom
# ΔH_f (0 K)	-0.633	eV per atom

***

(3)
# LiMg3Ti (GGA-PBEsol, relaxed)
data_LiMg3Ti
_symmetry_space_group_name_H-M 'P m -3 m'
_symmetry_Int_Tables_number 221
_symmetry_space_group_name_Hall '-P 4 2 3'
_cell_length_a 4.631
_cell_length_b 4.631
_cell_length_c 4.631
_cell_angle_alpha 90.00
_cell_angle_beta 90.00
_cell_angle_gamma 90.00
loop_
_atom_site_label
_atom_site_type_symbol
_atom_site_fract_x
_atom_site_fract_y
_atom_site_fract_z
_atom_site_occupancy
Li1 Li 0.000 0.000 0.000 1
Mg1 Mg 0.000 0.000 0.500 1
Ti1 Ti 0.500 0.500 0.500 1
# ΔH_f (0 K)	0.560	eV per atom

***

(4)
# LaYNi2 (GGA-PBEsol, relaxed)
data_LaYNi2
_symmetry_space_group_name_H-M 'A m m 2'
_symmetry_Int_Tables_number 38
_symmetry_space_group_name_Hall 'A 2 -2'
_cell_length_a 4.294
_cell_length_b 3.700
_cell_length_c 10.224
_cell_angle_alpha 90.00
_cell_angle_beta 90.00
_cell_angle_gamma 90.00
loop_
_atom_site_label
_atom_site_type_symbol
_atom_site_fract_x
_atom_site_fract_y
_atom_site_fract_z
_atom_site_occupancy
La1 La 0.000 0.000 0.000 1
Y1 Y 0.500 0.000 0.275 1
Ni1 Ni 0.000 0.000 0.714 1
Ni2 Ni 0.500 0.000 0.567 1
# energy relative to the lowest polymorph listed for this composition	0	meV/atom
# ΔH_f (0 K)	-0.349	eV per atom

***

(5)
# K2YCl5 (GGA-PBEsol, relaxed)
data_K2YCl5
_symmetry_space_group_name_H-M 'P n m a'
_symmetry_Int_Tables_number 62
_symmetry_space_group_name_Hall '-P 2ac 2n'
_cell_length_a 12.556
_cell_length_b 8.454
_cell_length_c 7.870
_cell_angle_alpha 90.00
_cell_angle_beta 90.00
_cell_angle_gamma 90.00
loop_
_atom_site_label
_atom_site_type_symbol
_atom_site_fract_x
_atom_site_fract_y
_atom_site_fract_z
_atom_site_occupancy
K1 K 0.172 0.005 0.057 1
Y1 Y 0.005 0.250 0.575 1
Cl1 Cl 0.011 0.250 0.915 1
Cl2 Cl 0.073 0.544 0.665 1
Cl3 Cl 0.178 0.250 0.382 1
Cl4 Cl 0.200 0.750 0.344 1
# ΔE_f (raw)	-2.1726	eV/atom

***

(6)
# In4Hg (GGA-PBEsol, relaxed)
data_In4Hg
_symmetry_space_group_name_H-M 'I 4/m'
_symmetry_Int_Tables_number 87
_symmetry_space_group_name_Hall '-I 4'
_cell_length_a 7.457
_cell_length_b 7.457
_cell_length_c 4.429
_cell_angle_alpha 90.00
_cell_angle_beta 90.00
_cell_angle_gamma 90.00
loop_
_atom_site_label
_atom_site_type_symbol
_atom_site_fract_x
_atom_site_fract_y
_atom_site_fract_z
_atom_site_occupancy
In1 In 0.099 0.297 0.000 1
Hg1 Hg 0.000 0.000 0.500 1
# energy relative to the lowest polymorph listed for this composition	0	meV/atom
# ΔH_f (0 K)	-0.005	eV per atom

***

Asked for V across the records above, the calculation gives 182.7, 68.8, 99.3, 162.4, 835.4, 246.3 Å³/cell in order.